[1]
# Ba2TlZn2, relaxed, DFT GGA-PBEsol
# - Fermi-level density of states: 0.76 states/eV/atom
# - Calculated total energy: -2.13 eV per atom
# - Energy relative to the elements: -0.110 eV/atom
# - SG: I4/mmm
# - Total magnetic moment: 0.000 μB/f.u.
# - Excess energy over the best structure of this formula in the dataset: 70 meV per atom
# - Density: 6.58 Mg/m³
data_Ba2TlZn2
_chemical_formula_sum 'Ba2 Tl1 Zn2'
_cell_length_a 3.825
_cell_length_b 3.825
_cell_length_c 10.859
_cell_angle_alpha 100.14
_cell_angle_beta 100.14
_cell_angle_gamma 90.00
_symmetry_space_group_name_H-M 'P 1'
_symmetry_Int_Tables_number 1
_symmetry_space_group_name_Hall 'P 1'
loop_
_atom_site_label
_atom_site_fract_x
_atom_site_fract_y
_atom_site_fract_z
Ba1 0.389 0.389 0.778
Ba2 0.611 0.611 0.222
Zn1 0.750 0.250 0.500
Zn2 0.250 0.750 0.500
Tl1 0.000 0.000 0.000

***

[2]
# Ba2TlZn2, relaxed, DFT GGA-PBEsol
# - Fermi-level density of states: 0.76 states/eV/atom
# - Calculated total energy: -2.20 eV per atom
# - Energy relative to the elements: -0.179 eV/atom
# - SG: P4/mbm
# - Total magnetic moment: 0.000 μB/f.u.
# - Excess energy over the best structure of this formula in the dataset: 0 meV per atom
# - Density: 6.49 Mg/m³
data_Ba2TlZn2
_chemical_formula_sum 'Ba4 Tl2 Zn4'
_cell_length_a 4.443
_cell_length_b 8.383
_cell_length_c 8.383
_cell_angle_alpha 90.00
_cell_angle_beta 90.00
_cell_angle_gamma 90.00
_symmetry_space_group_name_H-M 'P 1'
_symmetry_Int_Tables_number 1
_symmetry_space_group_name_Hall 'P 1'
loop_
_atom_site_label
_atom_site_fract_x
_atom_site_fract_y
_atom_site_fract_z
Ba1 0.500 0.309 0.191
Ba2 0.500 0.809 0.309
Ba3 0.500 0.191 0.691
Ba4 0.500 0.691 0.809
Zn1 0.000 0.106 0.394
Zn2 0.000 0.606 0.106
Zn3 0.000 0.394 0.894
Zn4 0.000 0.894 0.606
Tl1 0.000 0.500 0.500
Tl2 0.000 0.000 0.000

***

[3]
# Ba2TlZn, relaxed, DFT GGA-PBEsol
# - Fermi-level density of states: 0.73 states/eV/atom
# - Calculated total energy: -2.38 eV per atom
# - Energy relative to the elements: -0.250 eV/atom
# - SG: Imm2
# - Total magnetic moment: 0.000 μB/f.u.
# - Excess energy over the best structure of this formula in the dataset: 30 meV per atom
# - Density: 6.84 Mg/m³
data_Ba2TlZn
_chemical_formula_sum 'Ba2 Tl1 Zn1'
_cell_length_a 4.036
_cell_length_b 5.691
_cell_length_c 6.726
_cell_angle_alpha 115.03
_cell_angle_beta 107.46
_cell_angle_gamma 90.00
_symmetry_space_group_name_H-M 'P 1'
_symmetry_Int_Tables_number 1
_symmetry_space_group_name_Hall 'P 1'
loop_
_atom_site_label
_atom_site_fract_x
_atom_site_fract_y
_atom_site_fract_z
Zn1 0.783 0.283 0.567
Ba1 0.038 0.038 0.076
Ba2 0.226 0.726 0.453
Tl1 0.452 0.452 0.904

***

[4]
# Ba2TlZn, relaxed, DFT GGA-PBEsol
# - Fermi-level density of states: 0.71 states/eV/atom
# - Calculated total energy: -2.40 eV per atom
# - Energy relative to the elements: -0.277 eV/atom
# - SG: Fm-3m
# - Total magnetic moment: 0.000 μB/f.u.
# - Excess energy over the best structure of this formula in the dataset: 3 meV per atom
# - Density: 6.52 Mg/m³
data_Ba2TlZn
_chemical_formula_sum 'Ba2 Tl1 Zn1'
_cell_length_a 5.810
_cell_length_b 5.810
_cell_length_c 5.810
_cell_angle_alpha 60.00
_cell_angle_beta 60.00
_cell_angle_gamma 60.00
_symmetry_space_group_name_H-M 'P 1'
_symmetry_Int_Tables_number 1
_symmetry_space_group_name_Hall 'P 1'
loop_
_atom_site_label
_atom_site_fract_x
_atom_site_fract_y
_atom_site_fract_z
Zn1 0.000 0.000 0.000
Ba1 0.750 0.750 0.750
Ba2 0.250 0.250 0.250
Tl1 0.500 0.500 0.500

***

[5]
# BaTlZn2, relaxed, DFT GGA-PBEsol
# - Fermi-level density of states: 0.50 states/eV/atom
# - Calculated total energy: -2.11 eV per atom
# - Energy relative to the elements: -0.121 eV/atom
# - SG: Pm
# - Total magnetic moment: 0.000 μB/f.u.
# - Density: 7.37 Mg/m³
data_BaTlZn2
_chemical_formula_sum 'Ba1 Tl1 Zn2'
_cell_length_a 3.975
_cell_length_b 4.301
_cell_length_c 6.531
_cell_angle_alpha 90.00
_cell_angle_beta 107.69
_cell_angle_gamma 90.00
_symmetry_space_group_name_H-M 'P 1'
_symmetry_Int_Tables_number 1
_symmetry_space_group_name_Hall 'P 1'
loop_
_atom_site_label
_atom_site_fract_x
_atom_site_fract_y
_atom_site_fract_z
Ba1 0.545 0.000 0.463
Tl1 0.233 0.500 0.840
Zn1 0.812 0.000 0.003
Zn2 0.911 0.500 0.194

***

[6]
# Ba2TlZn, relaxed, DFT GGA-PBEsol
# - Fermi-level density of states: 0.59 states/eV/atom
# - Calculated total energy: -2.41 eV per atom
# - Energy relative to the elements: -0.280 eV/atom
# - SG: P4/mmm
# - Total magnetic moment: 0.000 μB/f.u.
# - Excess energy over the best structure of this formula in the dataset: 0 meV per atom
# - Density: 6.58 Mg/m³
data_Ba2TlZn
_chemical_formula_sum 'Ba2 Tl1 Zn1'
_cell_length_a 4.068
_cell_length_b 4.068
_cell_length_c 8.297
_cell_angle_alpha 90.00
_cell_angle_beta 90.00
_cell_angle_gamma 90.00
_symmetry_space_group_name_H-M 'P 1'
_symmetry_Int_Tables_number 1
_symmetry_space_group_name_Hall 'P 1'
loop_
_atom_site_label
_atom_site_fract_x
_atom_site_fract_y
_atom_site_fract_z
Ba1 0.000 0.000 0.737
Ba2 0.000 0.000 0.263
Tl1 0.500 0.500 0.000
Zn1 0.500 0.500 0.500

***

[7]
# Ba3TlZn, relaxed, DFT GGA-PBEsol
# - Fermi-level density of states: 1.86 states/eV/atom
# - Calculated total energy: -1.89 eV per atom
# - Energy relative to the elements: 0.237 eV/atom
# - SG: Pm-3m
# - Total magnetic moment: 0.877 μB/f.u.
# - Density: 3.97 Mg/m³
data_Ba3TlZn
_chemical_formula_sum 'Ba3 Tl1 Zn1'
_cell_length_a 6.585
_cell_length_b 6.585
_cell_length_c 6.585
_cell_angle_alpha 90.00
_cell_angle_beta 90.00
_cell_angle_gamma 90.00
_symmetry_space_group_name_H-M 'P 1'
_symmetry_Int_Tables_number 1
_symmetry_space_group_name_Hall 'P 1'
loop_
_atom_site_label
_atom_site_fract_x
_atom_site_fract_y
_atom_site_fract_z
Tl1 0.000 0.000 0.000
Zn1 0.500 0.500 0.500
Ba1 0.500 0.000 0.000
Ba2 0.000 0.500 0.000
Ba3 0.000 0.000 0.500

***

[8]
# BaZrTl2, relaxed, DFT GGA-PBEsol
# - Fermi-level density of states: 1.16 states/eV/atom
# - Calculated total energy: -3.74 eV per atom
# - Energy relative to the elements: 0.382 eV/atom
# - SG: F-43m
# - Total magnetic moment: 2.312 μB/f.u.
# - Density: 9.17 Mg/m³
data_BaZrTl2
_chemical_formula_sum 'Ba1 Zr1 Tl2'
_cell_length_a 5.465
_cell_length_b 5.465
_cell_length_c 5.465
_cell_angle_alpha 60.00
_cell_angle_beta 60.00
_cell_angle_gamma 60.00
_symmetry_space_group_name_H-M 'P 1'
_symmetry_Int_Tables_number 1
_symmetry_space_group_name_Hall 'P 1'
loop_
_atom_site_label
_atom_site_fract_x
_atom_site_fract_y
_atom_site_fract_z
Tl1 0.000 0.000 0.000
Tl2 0.750 0.750 0.750
Ba1 0.500 0.500 0.500
Zr1 0.250 0.250 0.250

***

[9]
# BaZr2Tl, relaxed, DFT GGA-PBEsol
# - Fermi-level density of states: 1.38 states/eV/atom
# - Calculated total energy: -5.38 eV per atom
# - Energy relative to the elements: 0.356 eV/atom
# - SG: Imm2
# - Total magnetic moment: 0.000 μB/f.u.
# - Excess energy over the best structure of this formula in the dataset: 122 meV per atom
# - Density: 8.25 Mg/m³
data_BaZr2Tl
_chemical_formula_sum 'Ba1 Zr2 Tl1'
_cell_length_a 3.354
_cell_length_b 5.556
_cell_length_c 6.523
_cell_angle_alpha 115.20
_cell_angle_beta 104.90
_cell_angle_gamma 90.00
_symmetry_space_group_name_H-M 'P 1'
_symmetry_Int_Tables_number 1
_symmetry_space_group_name_Hall 'P 1'
loop_
_atom_site_label
_atom_site_fract_x
_atom_site_fract_y
_atom_site_fract_z
Ba1 0.501 0.501 0.003
Zr1 0.001 0.001 0.003
Zr2 0.726 0.226 0.452
Tl1 0.271 0.771 0.542

***

[10]
# BaZrTl, relaxed, DFT GGA-PBEsol
# - Fermi-level density of states: 1.30 states/eV/atom
# - Calculated total energy: -4.48 eV per atom
# - Energy relative to the elements: 0.144 eV/atom
# - SG: Imm2
# - Total magnetic moment: 0.746 μB/f.u.
# - Density: 7.75 Mg/m³
data_BaZrTl
_chemical_formula_sum 'Ba1 Zr1 Tl1'
_cell_length_a 3.472
_cell_length_b 4.371
_cell_length_c 6.718
_cell_angle_alpha 108.98
_cell_angle_beta 104.97
_cell_angle_gamma 90.00
_symmetry_space_group_name_H-M 'P 1'
_symmetry_Int_Tables_number 1
_symmetry_space_group_name_Hall 'P 1'
loop_
_atom_site_label
_atom_site_fract_x
_atom_site_fract_y
_atom_site_fract_z
Ba1 0.007 0.007 0.014
Zr1 0.290 0.290 0.580
Tl1 0.703 0.703 0.406

***

[11]
# BaZr2Tl, relaxed, DFT GGA-PBEsol
# - Fermi-level density of states: 1.27 states/eV/atom
# - Calculated total energy: -5.51 eV per atom
# - Energy relative to the elements: 0.234 eV/atom
# - SG: C2/m
# - Total magnetic moment: 0.000 μB/f.u.
# - Excess energy over the best structure of this formula in the dataset: 0 meV per atom
# - Density: 8.17 Mg/m³
data_BaZr2Tl
_chemical_formula_sum 'Ba1 Zr2 Tl1'
_cell_length_a 3.250
_cell_length_b 5.914
_cell_length_c 5.881
_cell_angle_alpha 100.88
_cell_angle_beta 106.04
_cell_angle_gamma 90.00
_symmetry_space_group_name_H-M 'P 1'
_symmetry_Int_Tables_number 1
_symmetry_space_group_name_Hall 'P 1'
loop_
_atom_site_label
_atom_site_fract_x
_atom_site_fract_y
_atom_site_fract_z
Tl1 0.000 0.500 0.000
Ba1 0.500 0.000 0.000
Zr1 0.726 0.708 0.453
Zr2 0.274 0.292 0.547

***

[12]
# Ba3Tm, relaxed, DFT GGA-PBEsol
# - Fermi-level density of states: 1.61 states/eV/atom
# - Calculated total energy: -2.59 eV per atom
# - Energy relative to the elements: 0.244 eV/atom
# - SG: I4/mmm
# - Total magnetic moment: 0.000 μB/f.u.
# - Density: 5.22 Mg/m³
data_Ba3Tm
_chemical_formula_sum 'Ba3 Tm1'
_cell_length_a 5.708
_cell_length_b 5.708
_cell_length_c 6.962
_cell_angle_alpha 114.20
_cell_angle_beta 114.20
_cell_angle_gamma 90.00
_symmetry_space_group_name_H-M 'P 1'
_symmetry_Int_Tables_number 1
_symmetry_space_group_name_Hall 'P 1'
loop_
_atom_site_label
_atom_site_fract_x
_atom_site_fract_y
_atom_site_fract_z
Ba1 0.500 0.500 0.000
Ba2 0.750 0.250 0.500
Ba3 0.250 0.750 0.500
Tm1 0.000 0.000 0.000